No. 1
# SrBe4P

An optimized crystal structure of SrBe4P (GGA-PBE, Alexandria).

**Space group**: F-43m
**Crystal system**: cubic
**E_form**: 598.9 meV/atom

Cell: 4.943 4.943 4.943 Å, 60.00 60.00 60.00°
Fractional positions:
Sr1 0.000 0.000 0.000
Be1 0.877 0.374 0.374
Be2 0.374 0.374 0.877
Be3 0.374 0.877 0.374
Be4 0.374 0.374 0.374
P1 0.750 0.750 0.750



No. 2
# Li3Tl2In3

An optimized crystal structure of Li3Tl2In3 (GGA-PBE, Alexandria).

**Space group**: Immm
**Crystal system**: orthorhombic
**E_form**: -152.3 meV/atom

Cell: 4.566 4.618 9.421 Å, 104.19 104.02 90.00°
Fractional positions:
Li1 0.119 0.119 0.238
Li2 0.000 0.500 0.000
Li3 0.881 0.881 0.762
Tl1 0.754 0.254 0.508
Tl2 0.246 0.746 0.492
In1 0.614 0.614 0.228
In2 0.386 0.386 0.772
In3 0.500 0.000 0.000



What is the E_form in the second record? -152.3 meV/atom



Number 2 is which compound? Li3Tl2In3



The lowest E_form belongs to which entry? Li3Tl2In3



Which formula does entry 2 have? Li3Tl2In3